Entry 1:
Below is SrHgMo after structural relaxation, with properties calculated at the GGA-PBEsol level.

abc: 4.959 4.959 4.959
angles: 60.00 60.00 60.00
Site moments in Bohr magnetons follow the coordinates.
Positions (direct):
Hg: 0.250 0.250 0.250  -0.01
Sr: 0.500 0.500 0.500  0.02
Mo: 0.000 0.000 0.000  2.94

Values from the calculation:
- spin magnetization (μB per formula unit) = 3.433
- calculated formation energy (meV per atom) = 1019
- Fermi-level density of states (states/eV/cell) = 1.94

---

Entry 2:
Below is SiAg2P after structural relaxation, with properties calculated at the GGA-PBEsol level.

abc: 3.035 4.463 5.153
angles: 101.56 90.00 109.88
Positions (direct):
Ag: 0.750 0.500 0.744
Ag: 0.250 0.500 0.256
P: 0.500 0.000 0.000
Si: 0.000 0.000 0.500

Values from the calculation:
- spin magnetization (μB per formula unit) = 0.000
- energy above the lowest structure with this stoichiometry (meV/atom) = 0
- formation energy without anion corrections (eV/atom) = 0.30
- Fermi-level density of states (states/eV/cell) = 1.59

---

Entry 3:
Below is CsAsN2O after structural relaxation, with properties calculated at the GGA-PBEsol level.

abc: 3.980 4.112 4.112
angles: 90.00 90.00 90.00
Site moments in Bohr magnetons follow the coordinates.
Positions (direct):
N: 0.000 0.000 0.500  0.76
As: 0.000 0.000 0.000  -0.03
N: 0.000 0.500 0.000  0.76
Cs: 0.500 0.500 0.500  0.17
O: 0.500 0.000 0.000  0.14

Values from the calculation:
- spin magnetization (μB per formula unit) = 2.446
- formation energy without anion corrections (eV/atom) = 0.66
- Fermi-level density of states (states/eV/cell) = 2.04

---

Entry 4:
Below is TlTcB2W after structural relaxation, with properties calculated at the GGA-PBEsol level.

abc: 4.011 4.011 5.415
angles: 90.00 90.00 90.00
Site moments in Bohr magnetons follow the coordinates.
Positions (direct):
B: 0.000 0.500 0.000  -0.02
W: 0.000 0.000 0.500  -0.21
B: 0.500 0.000 0.000  -0.02
Tc: 0.500 0.500 0.500  0.34
Tl: 0.000 0.000 0.000  0.00

Values from the calculation:
- spin magnetization (μB per formula unit) = 0.053
- calculated formation energy (meV per atom) = 3043
- Fermi-level density of states (states/eV/cell) = 4.01